# 1
# Rb2TeI

An optimized crystal structure of Rb2TeI (GGA-PBE, the Alexandria database).

CIF file:
```
data_Rb2TeI
_cell_length_a 8.922
_cell_length_b 8.922
_cell_length_c 8.922
_cell_angle_alpha 90.00
_cell_angle_beta 90.00
_cell_angle_gamma 90.00
_space_group_name_H-M_alt 'F m -3 m'
_space_group_IT_number 225
_space_group_name_Hall '-F 4 2 3'
loop_
_atom_site_label
_atom_site_type_symbol
_atom_site_fract_x
_atom_site_fract_y
_atom_site_fract_z
_atom_site_occupancy
Rb1 Rb 0.250 0.250 0.250 1
Te1 Te 0.000 0.000 0.000 1
I1 I 0.000 0.000 0.500 1
```

Values from the calculation:
Uncorrected formation energy   -0.910 eV/atom
ΔE to the lowest computed polymorph   181.5 meV per atom
Mass density   3.98 g/cm3
Magnetic moment   4.00 μB/cell



# 2
# Pr4Nd3Zn

An optimized crystal structure of Pr4Nd3Zn (GGA-PBE, the Alexandria database).

CIF file:
```
data_Pr4Nd3Zn
_cell_length_a 3.714
_cell_length_b 3.714
_cell_length_c 19.359
_cell_angle_alpha 90.00
_cell_angle_beta 90.00
_cell_angle_gamma 90.00
_space_group_name_H-M_alt 'P 4/m m m'
_space_group_IT_number 123
_space_group_name_Hall '-P 4 2'
loop_
_atom_site_label
_atom_site_type_symbol
_atom_site_fract_x
_atom_site_fract_y
_atom_site_fract_z
_atom_site_occupancy
Pr1 Pr 0.000 0.000 0.095 1
Pr2 Pr 0.000 0.000 0.365 1
Nd1 Nd 0.500 0.500 0.231 1
Nd2 Nd 0.500 0.500 0.500 1
Zn1 Zn 0.500 0.500 0.000 1
```

Values from the calculation:
Mass density   6.60 g/cm3
Formation enthalpy at 0 K   -66 meV/atom
Magnetic moment   0.00 μB/cell



# 3
# TaCu2P

An optimized crystal structure of TaCu2P (GGA-PBE, the Alexandria database).

CIF file:
```
data_TaCu2P
_cell_length_a 2.982
_cell_length_b 2.982
_cell_length_c 6.221
_cell_angle_alpha 90.00
_cell_angle_beta 90.00
_cell_angle_gamma 90.00
_space_group_name_H-M_alt 'P 4/m m m'
_space_group_IT_number 123
_space_group_name_Hall '-P 4 2'
loop_
_atom_site_label
_atom_site_type_symbol
_atom_site_fract_x
_atom_site_fract_y
_atom_site_fract_z
_atom_site_occupancy
Ta1 Ta 0.000 0.000 0.000 1
Cu1 Cu 0.500 0.500 0.291 1
P1 P 0.000 0.000 0.500 1
```

Values from the calculation:
Mass density   10.18 g/cm3
Formation enthalpy at 0 K   135 meV/atom
Magnetic moment   0.00 μB/cell



# 4
# NbNiAs2Br

An optimized crystal structure of NbNiAs2Br (GGA-PBE, the Alexandria database).

CIF file:
```
data_NbNiAs2Br
_cell_length_a 4.574
_cell_length_b 4.574
_cell_length_c 4.836
_cell_angle_alpha 90.00
_cell_angle_beta 90.00
_cell_angle_gamma 90.00
_space_group_name_H-M_alt 'P 4/m m m'
_space_group_IT_number 123
_space_group_name_Hall '-P 4 2'
loop_
_atom_site_label
_atom_site_type_symbol
_atom_site_fract_x
_atom_site_fract_y
_atom_site_fract_z
_atom_site_occupancy
Nb1 Nb 0.000 0.000 0.000 1
Ni1 Ni 0.500 0.500 0.500 1
As1 As 0.000 0.500 0.500 1
Br1 Br 0.500 0.500 0.000 1
```

Values from the calculation:
Uncorrected formation energy   0.633 eV/atom
ΔE to the lowest computed polymorph   0.0 meV per atom
Mass density   6.26 g/cm3
Magnetic moment   1.81 μB/cell



# 5
# CsPdI2N

An optimized crystal structure of CsPdI2N (GGA-PBE, the Alexandria database).

CIF file:
```
data_CsPdI2N
_cell_length_a 6.984
_cell_length_b 6.984
_cell_length_c 4.863
_cell_angle_alpha 90.00
_cell_angle_beta 90.00
_cell_angle_gamma 90.00
_space_group_name_H-M_alt 'P 4/m m m'
_space_group_IT_number 123
_space_group_name_Hall '-P 4 2'
loop_
_atom_site_label
_atom_site_type_symbol
_atom_site_fract_x
_atom_site_fract_y
_atom_site_fract_z
_atom_site_occupancy
Cs1 Cs 0.000 0.000 0.000 1
Pd1 Pd 0.500 0.500 0.500 1
I1 I 0.000 0.500 0.000 1
N1 N 0.000 0.000 0.500 1
```

Values from the calculation:
Uncorrected formation energy   1.391 eV/atom
Mass density   3.55 g/cm3
Magnetic moment   3.33 μB/cell



# 6
# Ac3Nd2Ir2

An optimized crystal structure of Ac3Nd2Ir2 (GGA-PBE, the Alexandria database).

CIF file:
```
data_Ac3Nd2Ir2
_cell_length_a 4.056
_cell_length_b 7.077
_cell_length_c 8.799
_cell_angle_alpha 75.44
_cell_angle_beta 89.93
_cell_angle_gamma 73.42
_space_group_name_H-M_alt 'P -1'
_space_group_IT_number 2
loop_
_space_group_symop_operation_xyz
'x,y,z'
'-x,-y,-z'
loop_
_atom_site_label
_atom_site_type_symbol
_atom_site_fract_x
_atom_site_fract_y
_atom_site_fract_z
_atom_site_occupancy
Ac1 Ac 0.000 0.000 0.000 1
Ac2 Ac 0.129 0.745 0.425 1
Nd1 Nd 0.315 0.370 0.175 1
Ir1 Ir 0.336 0.328 0.830 1
```

Values from the calculation:
Mass density   9.62 g/cm3
Formation enthalpy at 0 K   -441 meV/atom
Magnetic moment   0.00 μB/cell



# 7
# LaCeNiPt

An optimized crystal structure of LaCeNiPt (GGA-PBE, the Alexandria database).

CIF file:
```
data_LaCeNiPt
_cell_length_a 7.131
_cell_length_b 7.131
_cell_length_c 7.131
_cell_angle_alpha 90.00
_cell_angle_beta 90.00
_cell_angle_gamma 90.00
_space_group_name_H-M_alt 'F -4 3 m'
_space_group_IT_number 216
_space_group_name_Hall 'F -4 2 3'
loop_
_atom_site_label
_atom_site_type_symbol
_atom_site_fract_x
_atom_site_fract_y
_atom_site_fract_z
_atom_site_occupancy
La1 La 0.000 0.000 0.000 1
Ce1 Ce 0.000 0.000 0.500 1
Ni1 Ni 0.250 0.250 0.750 1
Pt1 Pt 0.250 0.250 0.250 1
```

Values from the calculation:
ΔE to the lowest computed polymorph   114.0 meV per atom
Mass density   9.76 g/cm3
Formation enthalpy at 0 K   -601 meV/atom
Magnetic moment   3.09 μB/cell



# 8
# CrSb3

An optimized crystal structure of CrSb3 (GGA-PBE, the Alexandria database).

CIF file:
```
data_CrSb3
_cell_length_a 3.3329
_cell_length_b 3.3329
_cell_length_c 10.0065
_cell_angle_alpha 90.00
_cell_angle_beta 90.00
_cell_angle_gamma 120.00
_space_group_name_H-M_alt 'P -6 m 2'
_space_group_IT_number 187
_space_group_name_Hall 'P -6 2'
loop_
_atom_site_label
_atom_site_type_symbol
_atom_site_fract_x
_atom_site_fract_y
_atom_site_fract_z
_atom_site_occupancy
Cr1 Cr 0.0000 0.0000 0.0000 1
Sb1 Sb 0.0000 0.0000 0.5000 1
Sb2 Sb 0.6667 0.3333 0.1967 1
```

Values from the calculation:
Uncorrected formation energy   0.372 eV/atom
ΔE to the lowest computed polymorph   203.4 meV per atom
Mass density   7.20 g/cm3
Magnetic moment   2.50 μB/cell



# 9
# Nd3GeO6

An optimized crystal structure of Nd3GeO6 (GGA-PBE, the Alexandria database).

CIF file:
```
data_Nd3GeO6
_cell_length_a 9.283
_cell_length_b 11.566
_cell_length_c 5.700
_cell_angle_alpha 90.00
_cell_angle_beta 90.00
_cell_angle_gamma 90.00
_space_group_name_H-M_alt 'C m c 21'
_space_group_IT_number 36
loop_
_space_group_symop_operation_xyz
'x,y,z'
'-x,-y,z+1/2'
'-x,y,z'
'x,-y,z+1/2'
'x+1/2,y+1/2,z'
'-x+1/2,-y+1/2,z+1/2'
'-x+1/2,y+1/2,z'
'x+1/2,-y+1/2,z+1/2'
loop_
_atom_site_label
_atom_site_type_symbol
_atom_site_fract_x
_atom_site_fract_y
_atom_site_fract_z
_atom_site_occupancy
Nd1 Nd 0.000 0.102 0.000 1
Nd2 Nd 0.193 0.394 0.951 1
Ge1 Ge 0.000 0.326 0.432 1
O1 O 0.000 0.273 0.763 1
O2 O 0.000 0.472 0.218 1
O3 O 0.148 0.248 0.275 1
O4 O 0.160 0.012 0.725 1
```

Values from the calculation:
Uncorrected formation energy   -2.849 eV/atom
Mass density   6.53 g/cm3
Magnetic moment   0.00 μB/cell



# 10
# SnTe2RuN

An optimized crystal structure of SnTe2RuN (GGA-PBE, the Alexandria database).

CIF file:
```
data_SnTe2RuN
_cell_length_a 5.581
_cell_length_b 5.581
_cell_length_c 3.686
_cell_angle_alpha 90.00
_cell_angle_beta 90.00
_cell_angle_gamma 90.00
_space_group_name_H-M_alt 'P 4/m m m'
_space_group_IT_number 123
_space_group_name_Hall '-P 4 2'
loop_
_atom_site_label
_atom_site_type_symbol
_atom_site_fract_x
_atom_site_fract_y
_atom_site_fract_z
_atom_site_occupancy
Sn1 Sn 0.000 0.000 0.000 1
Te1 Te 0.000 0.500 0.500 1
Ru1 Ru 0.500 0.500 0.500 1
N1 N 0.500 0.500 0.000 1
```

Values from the calculation:
Uncorrected formation energy   0.198 eV/atom
ΔE to the lowest computed polymorph   0.0 meV per atom
Mass density   7.07 g/cm3
Magnetic moment   0.00 μB/cell



# 11
# CdIn3Sn4

An optimized crystal structure of CdIn3Sn4 (GGA-PBE, the Alexandria database).

CIF file:
```
data_CdIn3Sn4
_cell_length_a 6.767
_cell_length_b 9.822
_cell_length_c 6.510
_cell_angle_alpha 90.00
_cell_angle_beta 90.00
_cell_angle_gamma 90.00
_space_group_name_H-M_alt 'P m n 21'
_space_group_IT_number 31
loop_
_space_group_symop_operation_xyz
'x,y,z'
'-x+1/2,-y,z+1/2'
'-x,y,z'
'x+1/2,-y,z+1/2'
loop_
_atom_site_label
_atom_site_type_symbol
_atom_site_fract_x
_atom_site_fract_y
_atom_site_fract_z
_atom_site_occupancy
Cd1 Cd 0.000 0.001 0.000 1
In1 In 0.000 0.499 0.000 1
In2 In 0.249 0.755 0.749 1
Sn1 Sn 0.000 0.001 0.500 1
Sn2 Sn 0.000 0.499 0.501 1
Sn3 Sn 0.249 0.752 0.249 1
```

Values from the calculation:
Mass density   7.15 g/cm3
Formation enthalpy at 0 K   41 meV/atom
Magnetic moment   0.00 μB/cell



# 12
# CeZr2Sc3

An optimized crystal structure of CeZr2Sc3 (GGA-PBE, the Alexandria database).

CIF file:
```
data_CeZr2Sc3
_cell_length_a 6.358
_cell_length_b 6.318
_cell_length_c 7.723
_cell_angle_alpha 90.00
_cell_angle_beta 101.90
_cell_angle_gamma 90.00
_space_group_name_H-M_alt 'P 1 21/m 1'
_space_group_IT_number 11
loop_
_space_group_symop_operation_xyz
'x,y,z'
'-x,-y,-z'
'-x,y+1/2,-z'
'x,-y+1/2,z'
loop_
_atom_site_label
_atom_site_type_symbol
_atom_site_fract_x
_atom_site_fract_y
_atom_site_fract_z
_atom_site_occupancy
Ce1 Ce 0.085 0.250 0.326 1
Zr1 Zr 0.250 0.501 0.000 1
Sc1 Sc 0.076 0.750 0.292 1
Sc2 Sc 0.417 0.750 0.690 1
Sc3 Sc 0.431 0.250 0.700 1
```

Values from the calculation:
Mass density   5.00 g/cm3
Formation enthalpy at 0 K   158 meV/atom
Magnetic moment   1.34 μB/cell



# 13
# ScSeO3

An optimized crystal structure of ScSeO3 (GGA-PBE, the Alexandria database).

CIF file:
```
data_ScSeO3
_cell_length_a 3.937
_cell_length_b 3.937
_cell_length_c 3.937
_cell_angle_alpha 90.00
_cell_angle_beta 90.00
_cell_angle_gamma 90.00
_space_group_name_H-M_alt 'P m -3 m'
_space_group_IT_number 221
_space_group_name_Hall '-P 4 2 3'
loop_
_atom_site_label
_atom_site_type_symbol
_atom_site_fract_x
_atom_site_fract_y
_atom_site_fract_z
_atom_site_occupancy
Sc1 Sc 0.000 0.000 0.000 1
Se1 Se 0.500 0.500 0.500 1
O1 O 0.000 0.500 0.500 1
```

Values from the calculation:
Uncorrected formation energy   -0.913 eV/atom
Mass density   4.68 g/cm3
Magnetic moment   0.82 μB/cell